Entry 1:
{
  "formula": "TbLu2Si",
  "functional": "PBE",
  "state": "relaxed",
  "energy_ev_per_atom": -4.75,
  "formation_energy_uncorrected_ev_per_atom": 0.023,
  "dos_at_fermi_per_ev_cell": 4.44,
  "lattice_angstrom": [[-2.819, 0.410, 1.962], [-2.608, -2.261, -0.226], [2.702, -6.595, 8.311]],
  "species": ["Si", "Lu", "Lu", "Tb"],
  "frac_coords": [[0.500, 0.500, 0.500], [0.106, 0.106, 0.683], [0.894, 0.894, 0.317], [0.000, 0.000, 0.000]]
}

=====

Entry 2:
{
  "formula": "LuSiTc",
  "functional": "PBE",
  "state": "relaxed",
  "energy_ev_per_atom": -7.25,
  "formation_energy_uncorrected_ev_per_atom": -0.485,
  "dos_at_fermi_per_ev_cell": 1.98,
  "lattice_angstrom": [[-3.475, -0.821, 0.554], [1.139, -2.963, 2.750], [-0.717, 3.923, 1.317]],
  "species": ["Si", "Lu", "Tc"],
  "frac_coords": [[0.167, 0.000, 0.000], [0.667, 0.667, 0.333], [0.167, 0.333, 0.667]]
}

=====

Entry 3:
{
  "formula": "Lu2SiTe",
  "functional": "PBE",
  "state": "relaxed",
  "energy_ev_per_atom": -5.41,
  "formation_energy_uncorrected_ev_per_atom": -1.012,
  "dos_at_fermi_per_ev_cell": 0.69,
  "lattice_angstrom": [[4.145, 0.000, 0.000], [2.072, 3.590, 0.000], [2.072, 1.197, 6.955]],
  "species": ["Si", "Lu", "Lu", "Te"],
  "frac_coords": [[0.000, 0.000, 0.000], [0.738, 0.738, 0.785], [0.262, 0.262, 0.215], [0.500, 0.500, 0.500]]
}

=====

Entry 4:
{
  "formula": "LuTiSi",
  "functional": "PBE",
  "state": "relaxed",
  "energy_ev_per_atom": -6.62,
  "formation_energy_uncorrected_ev_per_atom": -0.671,
  "dos_at_fermi_per_ev_cell": 5.55,
  "lattice_angstrom": [[3.985, 0.000, 0.000], [0.000, 3.985, 0.000], [0.000, 0.000, 7.404]],
  "species": ["Lu", "Lu", "Ti", "Ti", "Si", "Si"],
  "frac_coords": [[0.000, 0.500, 0.344], [0.500, 0.000, 0.656], [0.000, 0.000, 0.000], [0.500, 0.500, 0.000], [0.000, 0.500, 0.754], [0.500, 0.000, 0.246]]
}

=====

Entry 5:
{
  "formula": "LuTiSi2",
  "functional": "PBE",
  "state": "relaxed",
  "energy_ev_per_atom": -6.26,
  "formation_energy_uncorrected_ev_per_atom": -0.442,
  "dos_at_fermi_per_ev_cell": 1.41,
  "lattice_angstrom": [[-3.226, 1.139, 1.302], [-2.761, 0.693, -2.301], [-4.019, -5.717, 0.188]],
  "species": ["Si", "Si", "Lu", "Ti"],
  "frac_coords": [[0.740, 0.740, 0.780], [0.260, 0.260, 0.220], [0.500, 0.500, 0.500], [0.000, 0.000, 0.000]]
}

=====

Entry 6:
{
  "formula": "Lu2TlSi",
  "functional": "PBE",
  "state": "relaxed",
  "energy_ev_per_atom": -4.51,
  "formation_energy_uncorrected_ev_per_atom": -0.305,
  "dos_at_fermi_per_ev_cell": 3.11,
  "lattice_angstrom": [[4.697, 0.000, 0.000], [2.349, 4.068, 0.000], [2.349, 1.356, 5.094]],
  "species": ["Tl", "Lu", "Lu", "Si"],
  "frac_coords": [[0.000, 0.000, 0.000], [0.760, 0.760, 0.719], [0.240, 0.240, 0.281], [0.500, 0.500, 0.500]]
}

=====

Entry 7:
{
  "formula": "Lu2TlSi",
  "functional": "PBE",
  "state": "relaxed",
  "energy_ev_per_atom": -4.58,
  "formation_energy_uncorrected_ev_per_atom": -0.369,
  "dos_at_fermi_per_ev_cell": 2.96,
  "lattice_angstrom": [[3.297, 0.000, 0.000], [0.000, 3.297, 0.000], [0.000, 0.000, 8.481]],
  "species": ["Tl", "Lu", "Lu", "Si"],
  "frac_coords": [[0.500, 0.500, 0.500], [0.000, 0.000, 0.786], [0.000, 0.000, 0.214], [0.500, 0.500, 0.000]]
}

=====

Entry 8:
{
  "formula": "TmLu2Si",
  "functional": "PBE",
  "state": "relaxed",
  "energy_ev_per_atom": -4.87,
  "formation_energy_uncorrected_ev_per_atom": -0.136,
  "dos_at_fermi_per_ev_cell": 5.95,
  "lattice_angstrom": [[-1.530, 3.148, -0.346], [-3.418, 0.385, 0.737], [0.604, 3.298, 9.475]],
  "species": ["Si", "Lu", "Lu", "Tm"],
  "frac_coords": [[0.500, 0.500, 0.500], [0.234, 0.234, 0.298], [0.766, 0.766, 0.702], [0.000, 0.000, 0.000]]
}

=====

> Number 7 is which compound?

Lu2TlSi